Computed, not measured: a relaxed structure of RbGeMo2O8 at the GGA+U level of DFT.

```
RbGeMo2O8
1.0
5.4804 0.0000 0.0000
-2.7402 4.7461 0.0000
0.0000 0.0000 8.2042
Rb Ge Mo O
1 1 2 8
Direct
0.0000 0.0000 0.0000 Rb
0.0000 0.0000 0.5000 Ge
0.3333 0.6667 0.7075 Mo
0.6667 0.3333 0.2925 Mo
0.0572 0.3166 0.6403 O
0.2594 0.9428 0.6403 O
0.3166 0.2594 0.3597 O
0.3333 0.6667 0.9210 O
0.6667 0.3333 0.0790 O
0.6834 0.7406 0.6403 O
0.7406 0.0572 0.3597 O
0.9428 0.6834 0.3597 O
```

Output
Electronic total energy = -6.530 eV/atom
Calculated density = 3.7 Mg/m³
DOS(E_F) = 3.0 states/eV/cell